First-principles (GGA-PBE) data for a geometry-optimized K2PdAu3 structure, as listed in Alexandria.

Values from the calculation:
Symmetry ... C2/m (12)
Energy of formation ... -0.288 eV/atom

Lattice parameters (Å, degrees): 5.787 5.787 5.753 89.74 120.10 120.40
Fractional positions:
K 0.748 0.374 0.122
K 0.252 0.626 0.878
Pd 0.000 0.000 0.000
Au 0.500 0.500 0.500
Au 0.000 0.000 0.500
Au 0.500 0.000 0.500

***

First-principles (GGA-PBE) data for a geometry-optimized AcTbCuGe structure, as listed in Alexandria.

Values from the calculation:
Symmetry ... F-43m (216)
Energy of formation ... -0.370 eV/atom

Lattice parameters (Å, degrees): 5.243 5.243 5.243 60.00 60.00 60.00
Fractional positions:
Ac 0.500 0.500 0.500
Tb 0.000 0.000 0.000
Ge 0.250 0.250 0.250
Cu 0.750 0.750 0.750

***

First-principles (GGA-PBE) data for a geometry-optimized YPSe2 structure, as listed in Alexandria.

Values from the calculation:
Symmetry ... C2/m (12)
Final energy ... -5.4070 eV per atom

Lattice parameters (Å, degrees): 5.715 5.715 4.581 88.92 88.92 39.03
Fractional positions:
Y 0.500 0.500 0.000
P 0.000 0.000 0.500
Se 0.187 0.187 0.788
Se 0.813 0.813 0.212

***

First-principles (GGA-PBE) data for a geometry-optimized LiCo2Ir structure, as listed in Alexandria.

Values from the calculation:
Symmetry ... I-42d (122)
Energy of formation ... 0.472 eV/atom

Lattice parameters (Å, degrees): 3.423 3.423 8.982 79.02 79.02 90.00
Each line ends with the local moment (μB).
Fractional positions:
Ir 0.000 0.000 0.000  0.55
Ir 0.750 0.250 0.500  0.54
Co 0.604 0.125 0.250  1.77
Co 0.146 0.625 0.250  1.76
Co 0.375 0.396 0.750  1.75
Co 0.875 0.854 0.750  1.75
Li 0.500 0.500 0.000  -0.03
Li 0.250 0.750 0.500  -0.03

***

First-principles (GGA-PBE) data for a geometry-optimized MnInW2N structure, as listed in Alexandria.

Values from the calculation:
Symmetry ... P4/mmm (123)
Final energy ... -6.0168 eV per atom

Lattice parameters (Å, degrees): 5.060 3.780 5.060 90.00 90.00 90.00
Each line ends with the local moment (μB).
Fractional positions:
N 0.000 0.500 0.000  -0.16
Mn 0.500 0.500 0.500  0.26
W 0.000 0.000 0.500  0.42
W 0.500 0.000 0.000  0.28
In 0.000 0.000 0.000  0.00

***

First-principles (GGA-PBE) data for a geometry-optimized Dy2HoPt structure, as listed in Alexandria.

Values from the calculation:
Symmetry ... P4/mmm (123)
Energy of formation ... -0.582 eV/atom

Lattice parameters (Å, degrees): 3.574 3.574 8.351 90.00 90.00 90.00
Fractional positions:
Ho 0.500 0.500 0.500
Pt 0.500 0.500 0.000
Dy 0.000 0.000 0.803
Dy 0.000 0.000 0.197

***

First-principles (GGA-PBE) data for a geometry-optimized Pr3AlCd2 structure, as listed in Alexandria.

Values from the calculation:
Symmetry ... P-3m1 (164)
Energy of formation ... -0.318 eV/atom

Lattice parameters (Å, degrees): 5.434 5.434 13.334 90.00 90.00 120.00
Fractional positions:
Pr 0.333 0.667 0.417
Pr 0.667 0.333 0.089
Pr 0.000 0.000 0.745
Pr 0.000 0.000 0.255
Pr 0.333 0.667 0.911
Pr 0.667 0.333 0.583
Al 0.333 0.667 0.664
Al 0.667 0.333 0.336
Cd 0.000 0.000 0.500
Cd 0.333 0.667 0.165
Cd 0.667 0.333 0.835
Cd 0.000 0.000 0.000

***

First-principles (GGA-PBE) data for a geometry-optimized Ge2I3Cl structure, as listed in Alexandria.

Values from the calculation:
Symmetry ... C2/m (12)
Final energy ... -3.0508 eV per atom

Lattice parameters (Å, degrees): 4.215 10.020 11.741 92.78 79.66 77.86
Fractional positions:
Ge 0.882 0.352 0.883
Ge 0.118 0.648 0.117
Ge 0.623 0.121 0.633
Ge 0.377 0.879 0.367
I 0.065 0.056 0.813
I 0.935 0.944 0.187
I 0.694 0.675 0.938
I 0.306 0.325 0.062
I 0.825 0.813 0.537
I 0.175 0.187 0.463
Cl 0.450 0.374 0.727
Cl 0.550 0.626 0.273